This record from OQMD describes crystalline NiHg2Mo at its relaxed geometry. The functional is PBE.

Structure (extended XYZ):
```
4
Lattice="2.7237 0.7199 3.6586 4.5204 0.7306 -0.5950 1.7814 4.1912 0.7631" Properties=species:S:1:pos:R:3 pbc="T T T"
Hg 4.5128 2.8209 1.9133
Hg 6.7691 4.2313 2.8700
Mo 2.2564 1.4104 0.9567
Ni 0.0000 0.0000 0.0000
```

- SG: F-43m, No. 216
- DFT formation energy: 0.69 eV per atom